Below is a relaxed Ba2SrZn3 crystal, with properties calculated at the PBE level.

## Properties
V	33.02	A^3/atom
total energy	-0.0634	hartree per atom
crystal system	tetragonal

Cell: 4.056 4.056 12.043 Å, 90.00 90.00 90.00°
Atoms (fractional coordinates):
Zn (0.000, 0.000, 0.654)
Zn (0.000, 0.000, 0.346)
Zn (0.000, 0.000, 0.000)
Ba (0.500, 0.500, 0.828)
Ba (0.500, 0.500, 0.172)
Sr (0.500, 0.500, 0.500)